Below is crystalline Tm3Cd2Ga at its relaxed geometry, with properties calculated at the PBE level.

a b c (Å): 5.1394 5.1394 6.3179
angles (deg): 90.00 90.00 120.00
Closest atoms and distances in Å follow each position.
Space group P-3m1 (No. 164)
Symmetry-distinct sites (fractional):
1 Tm 0.0000 0.0000 0.0000 x1  6 Cd 3.11, 2 Ga 3.16
2 Tm 0.3333 0.6667 0.6520 x2  3 Ga 3.12, 5 Cd 3.14-3.22
3 Cd 0.3333 0.6667 0.1486 x2  8 Tm 3.11-3.22
4 Ga 0.0000 0.0000 0.5000 x1  8 Tm 3.12-3.16

Output
ΔE_f = -0.3888 eV/atom
density = 9.21 Mg/m³
polymorph energy (0 for the lowest one) = 0.5 kJ/mol of atoms